# 1
This record from Alexandria via LeMat-Bulk describes a geometry-optimized RbPaPb3 structure. The functional is GGA-PBE.

Results
* density: 6962 kg/m³
* magnetization: 0.00 Bohr magnetons per cell
* DFT formation energy: 0.371 eV/atom

a = 6.071 Å, b = 6.071 Å, c = 6.071 Å
α = 90.00°, β = 90.00°, γ = 90.00°
Space group Pm-3m (No. 221)
Unique sites:
Rb1 0.000 0.000 0.000
Pa1 0.500 0.500 0.500
Pb1 0.000 0.500 0.500

# 2
This record from Alexandria via LeMat-Bulk describes a geometry-optimized ZrTiCo structure. The functional is GGA-PBE.

Results
* density: 6423 kg/m³
* ΔE to the lowest computed polymorph: 0.021 eV per atom
* magnetization: 0.00 Bohr magnetons per cell
* DFT formation energy: -0.273 eV/atom

a = 4.119 Å, b = 4.119 Å, c = 6.034 Å
α = 90.00°, β = 90.00°, γ = 90.00°
Space group P4/nmm (No. 129, origin choice 2)
Unique sites:
Zr1 0.250 0.250 0.125
Ti1 0.250 0.750 0.500
Co1 0.250 0.250 0.720

# 3
This record from Alexandria via LeMat-Bulk describes a geometry-optimized KFeCo3 structure. The functional is GGA-PBE.

Results
* density: 5511 kg/m³
* ΔE to the lowest computed polymorph: 1.711 eV per atom
* magnetization: 4.49 Bohr magnetons per cell
* DFT formation energy: 2.856 eV/atom

a = 4.342 Å, b = 4.342 Å, c = 4.342 Å
α = 90.00°, β = 90.00°, γ = 90.00°
Space group Pm-3m (No. 221)
Unique sites:
K1 0.000 0.000 0.000
Fe1 0.500 0.500 0.500
Co1 0.000 0.000 0.500

# 4
This record from Alexandria via LeMat-Bulk describes a geometry-optimized AsIr2Cl structure. The functional is GGA-PBE.

Results
* density: 12259 kg/m³
* ΔE to the lowest computed polymorph: 0.089 eV per atom
* energy relative to the elements, uncorrected: 32.97 kJ per mole of atoms
* magnetization: 0.00 Bohr magnetons per cell

a = 3.048 Å, b = 3.064 Å, c = 7.177 Å
α = 90.00°, β = 90.00°, γ = 90.00°
Space group Pmmm (No. 47)
Unique sites:
As1 0.000 0.000 0.000
Ir1 0.500 0.500 0.198
Cl1 0.000 0.500 0.500

# 5
This record from Alexandria via LeMat-Bulk describes a geometry-optimized K4Cr structure. The functional is GGA-PBE.

Results
* density: 1045 kg/m³
* magnetization: 5.36 Bohr magnetons per cell
* DFT formation energy: 0.552 eV/atom

a = 6.919 Å, b = 6.919 Å, c = 6.919 Å
α = 90.00°, β = 90.00°, γ = 90.00°
Space group Pm-3m (No. 221)
Unique sites:
K1 0.000 0.000 0.000
K2 0.000 0.500 0.500
Cr1 0.500 0.500 0.500

# 6
This record from Alexandria via LeMat-Bulk describes a geometry-optimized K4Rb2Cd2Au structure. The functional is GGA-PBE.

Results
* density: 2762 kg/m³
* magnetization: 0.00 Bohr magnetons per cell
* DFT formation energy: -0.060 eV/atom

a = 14.922 Å, b = 8.615 Å, c = 7.133 Å
α = 90.00°, β = 100.77°, γ = 90.00°
Space group C2/m (No. 12)
Unique sites:
K1 0.115 0.229 0.256
Rb1 0.139 0.500 0.774
Cd1 0.160 0.000 0.775
Au1 0.000 0.000 0.500

# 7
This record from Alexandria via LeMat-Bulk describes a geometry-optimized CaPm4Nd3Se8 structure. The functional is GGA-PBE.

Results
* density: 6626 kg/m³
* energy relative to the elements, uncorrected: -178.27 kJ per mole of atoms
* magnetization: 0.00 Bohr magnetons per cell

a = 8.4241 Å, b = 8.4241 Å, c = 20.6081 Å
α = 90.00°, β = 90.00°, γ = 120.00°
Space group R-3m (No. 166, hexagonal axes)
Unique sites:
Ca1 0.0000 0.0000 0.0000
Pm1 0.0000 0.0000 0.5000
Pm2 0.0000 0.5000 0.5000
Nd1 0.0000 0.5000 0.0000
Se1 0.0000 0.0000 0.2490
Se2 0.0047 0.5023 0.7498

# 8
This record from Alexandria via LeMat-Bulk describes a geometry-optimized PuPt4Rh structure. The functional is GGA-PBE.

Results
* density: 17601 kg/m³
* magnetization: 14.00 Bohr magnetons per cell
* DFT formation energy: -0.386 eV/atom

a = 7.521 Å, b = 7.521 Å, c = 7.521 Å
α = 90.00°, β = 90.00°, γ = 90.00°
Space group F-43m (No. 216)
Unique sites:
Pu1 0.000 0.000 0.000
Pt1 0.125 0.125 0.375
Rh1 0.250 0.250 0.750

# 9
This record from Alexandria via LeMat-Bulk describes a geometry-optimized PrSm2N structure. The functional is GGA-PBE.

Results
* density: 7052 kg/m³
* energy relative to the elements, uncorrected: -59.94 kJ per mole of atoms
* magnetization: 0.00 Bohr magnetons per cell

a = 3.5512 Å, b = 3.5512 Å, c = 29.4691 Å
α = 90.00°, β = 90.00°, γ = 120.00°
Space group R-3m (No. 166, hexagonal axes)
Unique sites:
Pr1 0.0000 0.0000 0.0000
Sm1 0.0000 0.0000 0.1205
N1 0.0000 0.0000 0.5000

# 10
This record from Alexandria via LeMat-Bulk describes a geometry-optimized ZrScPbBr structure. The functional is GGA-PBE.

Results
* density: 6364 kg/m³
* ΔE to the lowest computed polymorph: 0.025 eV per atom
* energy relative to the elements, uncorrected: -47.30 kJ per mole of atoms
* magnetization: 0.00 Bohr magnetons per cell

a = 3.405 Å, b = 3.408 Å, c = 10.989 Å
α = 89.18°, β = 88.32°, γ = 60.06°
Space group P1 (No. 1)
Unique sites:
Zr1 0.000 0.000 0.000
Sc1 0.355 0.335 0.775
Pb1 0.646 0.662 0.242
Br1 0.038 0.001 0.603

# 11
This record from Alexandria via LeMat-Bulk describes a geometry-optimized DyCrH structure. The functional is GGA-PBE.

Results
* density: 8487 kg/m³
* uncorrected energy: -5.535 eV per atom
* magnetization: 0.00 Bohr magnetons per cell

a = 3.1055 Å, b = 3.1055 Å, c = 10.0986 Å
α = 90.00°, β = 90.00°, γ = 120.00°
Space group P-6m2 (No. 187)
Unique sites:
Dy1 0.0000 0.0000 0.1638
Cr1 0.6667 0.3333 0.4037
H1 0.0000 0.0000 0.5000
H2 0.6667 0.3333 0.0000

# 12
This record from Alexandria via LeMat-Bulk describes a geometry-optimized Ca2Mg3Pt2 structure. The functional is GGA-PBE.

Results
* density: 5706 kg/m³
* magnetization: 0.00 Bohr magnetons per cell
* DFT formation energy: -0.716 eV/atom

a = 10.571 Å, b = 4.265 Å, c = 7.639 Å
α = 90.00°, β = 113.36°, γ = 90.00°
Space group C2/m (No. 12)
Unique sites:
Ca1 0.145 0.000 0.294
Mg1 0.000 0.500 0.500
Mg2 0.139 0.500 0.938
Pt1 0.147 0.000 0.710

# 13
This record from Alexandria via LeMat-Bulk describes a geometry-optimized CsUN2 structure. The functional is GGA-PBE.

Results
* density: 8375 kg/m³
* ΔE to the lowest computed polymorph: 0.029 eV per atom
* energy relative to the elements, uncorrected: -81.40 kJ per mole of atoms
* magnetization: 2.97 Bohr magnetons per cell

a = 3.5782 Å, b = 3.5782 Å, c = 21.4024 Å
α = 90.00°, β = 90.00°, γ = 120.00°
Space group R3m (No. 160, hexagonal axes)
Unique sites:
Cs1 0.0000 0.0000 0.0000
U1 0.0000 0.0000 0.8293
N1 0.0000 0.0000 0.2075
N2 0.0000 0.0000 0.4487

# 14
This record from Alexandria via LeMat-Bulk describes a geometry-optimized Li2CuCl6 structure. The functional is GGA-PBE.

Results
* density: 2417 kg/m³
* energy relative to the elements, uncorrected: -79.99 kJ per mole of atoms
* magnetization: 2.11 Bohr magnetons per cell

a = 6.153 Å, b = 6.190 Å, c = 11.720 Å
α = 90.00°, β = 116.71°, γ = 90.00°
Space group P2_1/c (No. 14)
Unique sites:
Li1 0.154 0.011 0.176
Cu1 0.500 0.000 0.000
Cl1 0.163 0.242 0.845
Cl2 0.212 0.712 0.507
Cl3 0.495 0.690 0.336

# 15
This record from Alexandria via LeMat-Bulk describes a geometry-optimized MnBeHg2 structure. The functional is GGA-PBE.

Results
* density: 10854 kg/m³
* magnetization: 7.54 Bohr magnetons per cell
* DFT formation energy: 0.395 eV/atom

a = 12.036 Å, b = 2.971 Å, c = 4.251 Å
α = 90.00°, β = 110.57°, γ = 90.00°
Space group Cm (No. 8)
Unique sites:
Mn1 0.000 0.000 0.000
Be1 0.171 0.500 0.172
Hg1 0.177 0.000 0.677
Hg2 0.381 0.000 0.382

# 16
This record from Alexandria via LeMat-Bulk describes a geometry-optimized Ba2NaRuN structure. The functional is GGA-PBE.

Results
* density: 4984 kg/m³
* energy relative to the elements, uncorrected: -13.20 kJ per mole of atoms
* magnetization: 0.00 Bohr magnetons per cell

a = 5.962 Å, b = 5.962 Å, c = 3.868 Å
α = 90.00°, β = 90.00°, γ = 90.00°
Space group P4/mmm (No. 123)
Unique sites:
Ba1 0.000 0.500 0.000
Na1 0.000 0.000 0.500
Ru1 0.500 0.500 0.500
N1 0.500 0.500 0.000

# 17
This record from Alexandria via LeMat-Bulk describes a geometry-optimized TeIrBr structure. The functional is GGA-PBE.

Results
* density: 7679 kg/m³
* energy relative to the elements, uncorrected: -21.89 kJ per mole of atoms
* magnetization: 0.00 Bohr magnetons per cell

a = 3.8446 Å, b = 3.8446 Å, c = 6.7525 Å
α = 90.00°, β = 90.00°, γ = 120.00°
Space group P3m1 (No. 156)
Unique sites:
Te1 0.0000 0.0000 0.0000
Ir1 0.6667 0.3333 0.8001
Br1 0.3333 0.6667 0.5746

# 18
This record from Alexandria via LeMat-Bulk describes a geometry-optimized NiPd4Pt3 structure. The functional is GGA-PBE.

Results
* density: 14766 kg/m³
* ΔE to the lowest computed polymorph: 0.000 eV per atom
* magnetization: 5.37 Bohr magnetons per cell
* DFT formation energy: -0.019 eV/atom

a = 3.917 Å, b = 3.917 Å, c = 15.684 Å
α = 90.00°, β = 90.00°, γ = 90.00°
Space group I4/mmm (No. 139)
Unique sites:
Ni1 0.000 0.000 0.000
Pd1 0.000 0.500 0.121
Pt1 0.000 0.000 0.251
Pt2 0.000 0.000 0.500

# 19
This record from Alexandria via LeMat-Bulk describes a geometry-optimized Na2Zn3Cu structure. The functional is GGA-PBE.

Results
* density: 4656 kg/m³
* magnetization: 0.00 Bohr magnetons per cell
* DFT formation energy: -0.011 eV/atom

a = 9.102 Å, b = 5.483 Å, c = 5.233 Å
α = 90.00°, β = 123.38°, γ = 90.00°
Space group C2/m (No. 12)
Unique sites:
Na1 0.125 0.000 0.374
Zn1 0.000 0.500 0.500
Zn2 0.250 0.250 0.000
Cu1 0.000 0.500 0.000

# 20
This record from Alexandria via LeMat-Bulk describes a geometry-optimized YBi2S4 structure. The functional is GGA-PBE.

Results
* density: 5930 kg/m³
* ΔE to the lowest computed polymorph: 0.000 eV per atom
* energy relative to the elements, uncorrected: -81.14 kJ per mole of atoms
* magnetization: 0.00 Bohr magnetons per cell

a = 3.733 Å, b = 14.517 Å, c = 13.127 Å
α = 90.00°, β = 90.00°, γ = 90.00°
Space group Cmcm (No. 63)
Unique sites:
Y1 0.000 0.113 0.250
Bi1 0.000 0.369 0.071
S1 0.000 0.000 0.000
S2 0.000 0.297 0.623
S3 0.000 0.477 0.250

# 21
This record from Alexandria via LeMat-Bulk describes a geometry-optimized Ba2ZnSnO structure. The functional is GGA-PBE.

Results
* density: 5342 kg/m³
* energy relative to the elements, uncorrected: -116.58 kJ per mole of atoms
* magnetization: 0.00 Bohr magnetons per cell

a = 7.327 Å, b = 4.537 Å, c = 9.368 Å
α = 90.00°, β = 108.61°, γ = 90.00°
Space group P2_1/m (No. 11)
Unique sites:
Ba1 0.200 0.250 0.384
Ba2 0.208 0.250 0.965
Zn1 0.457 0.750 0.241
Sn1 0.337 0.750 0.703
O1 0.167 0.750 0.158

# 22
This record from Alexandria via LeMat-Bulk describes a geometry-optimized BaIn3Ag structure. The functional is GGA-PBE.

Results
* density: 6775 kg/m³
* magnetization: 0.00 Bohr magnetons per cell
* DFT formation energy: -0.354 eV/atom

a = 6.898 Å, b = 12.427 Å, c = 6.744 Å
α = 90.00°, β = 90.00°, γ = 90.00°
Space group Cmcm (No. 63)
Unique sites:
Ba1 0.000 0.250 0.250
In1 0.000 0.146 0.750
In2 0.246 0.500 0.000
Ag1 0.000 0.370 0.750

# 23
This record from Alexandria via LeMat-Bulk describes a geometry-optimized Ru2PbS structure. The functional is GGA-PBE.

Results
* density: 8380 kg/m³
* ΔE to the lowest computed polymorph: 0.000 eV per atom
* energy relative to the elements, uncorrected: 37.54 kJ per mole of atoms
* magnetization: 0.00 Bohr magnetons per cell

a = 5.858 Å, b = 5.858 Å, c = 10.197 Å
α = 90.00°, β = 90.00°, γ = 90.00°
Space group I-42d (No. 122)
Unique sites:
Ru1 0.175 0.250 0.125
Pb1 0.000 0.000 0.500
S1 0.000 0.000 0.000

# 24
This record from Alexandria via LeMat-Bulk describes a geometry-optimized NpGe4Rh6 structure. The functional is GGA-PBE.

Results
* density: 10549 kg/m³
* ΔE to the lowest computed polymorph: 0.250 eV per atom
* magnetization: 4.82 Bohr magnetons per cell
* DFT formation energy: -0.346 eV/atom

a = 5.198 Å, b = 5.198 Å, c = 13.342 Å
α = 90.00°, β = 90.00°, γ = 90.00°
Space group I-42m (No. 121)
Unique sites:
Np1 0.000 0.000 0.000
Ge1 0.193 0.193 0.360
Rh1 0.000 0.500 0.000
Rh2 0.220 0.220 0.177

# 25
This record from Alexandria via LeMat-Bulk describes a geometry-optimized NiMoPd structure. The functional is GGA-PBE.

Results
* density: 10328 kg/m³
* ΔE to the lowest computed polymorph: 0.040 eV per atom
* magnetization: 0.00 Bohr magnetons per cell
* DFT formation energy: -0.016 eV/atom

a = 9.992 Å, b = 2.753 Å, c = 6.332 Å
α = 90.00°, β = 105.40°, γ = 90.00°
Space group Cm (No. 8)
Unique sites:
Ni1 0.000 0.000 0.000
Ni2 0.053 0.000 0.601
Mo1 0.354 0.000 0.670
Mo2 0.393 0.000 0.273
Pd1 0.169 0.500 0.339
Pd2 0.218 0.500 0.925